[1]
Here is crystalline CdHg2Ru at its relaxed geometry from the Alexandria database. Energies are from PBEsol.

Cell: 2.9679 4.0985 5.9804 Å, 90.00 90.00 90.00°
Space group Pmmm (No. 47)
Asymmetric unit:
Cd 0.0000 0.0000 0.0000 x1
Hg 0.5000 0.5000 0.2642 x2
Ru 0.0000 0.0000 0.5000 x1

Properties
DFT total energy	-10.97	eV for the cell shown
magnetization	0.1821	μB per atom
formation energy from the elements	384	meV per atom

***

[2]
Here is crystalline SnPPb3 at its relaxed geometry from the Alexandria database. Energies are from PBEsol.

Cell: 5.6353 5.6353 5.6353 Å, 90.00 90.00 90.00°
Space group Pm-3m (No. 221)
Asymmetric unit:
Sn 0.0000 0.0000 0.0000 x1
P 0.5000 0.5000 0.5000 x1
Pb 0.0000 0.0000 0.5000 x3

Properties
DFT total energy	-17.23	eV for the cell shown
magnetization	0.0001	μB per atom
formation energy from the elements	963	meV per atom

***

[3]
Here is crystalline FeRhSe3 at its relaxed geometry from the Alexandria database. Energies are from PBEsol.

Cell: 4.7737 4.7737 4.7737 Å, 90.00 90.00 90.00°
Space group Pm-3m (No. 221)
Asymmetric unit:
Fe 0.0000 0.0000 0.0000 x1
Rh 0.5000 0.5000 0.5000 x1
Se 0.0000 0.5000 0.5000 x3

Properties
DFT total energy	-24.70	eV for the cell shown
magnetization	0.7851	μB per atom
E_form (uncorrected)	0.791	eV per atom

***

[4]
Here is crystalline Be2TeIr at its relaxed geometry from the Alexandria database. Energies are from PBEsol.

Cell: 2.9444 3.3351 5.9258 Å, 90.00 90.00 90.00°
Space group Pmm2 (No. 25)
Asymmetric unit:
Be 0.0000 0.0000 0.0000 x1
Be 0.5000 0.5000 0.2259 x1
Te 0.5000 0.5000 0.7388 x1
Ir 0.0000 0.0000 0.3579 x1

Properties
DFT total energy	-20.58	eV for the cell shown
magnetization	0.0000	μB per atom
E_form (uncorrected)	0.192	eV per atom

***

[5]
Here is crystalline As3Pb2 at its relaxed geometry from the Alexandria database. Energies are from PBEsol.

Cell: 3.9615 3.9615 9.5269 Å, 90.00 90.00 120.00°
Space group P-3m1 (No. 164)
Asymmetric unit:
As 0.0000 0.0000 0.0000 x1
As 0.3333 0.6667 0.4335 x2
Pb 0.3333 0.6667 0.8138 x2

Properties
DFT total energy	-22.90	eV for the cell shown
magnetization	0.0000	μB per atom
formation energy from the elements	84	meV per atom

***

[6]
Here is crystalline CaTc2Se at its relaxed geometry from the Alexandria database. Energies are from PBEsol.

Cell: 5.2246 5.2612 10.4837 Å, 90.00 90.00 90.00°
Space group Fmmm (No. 69)
Asymmetric unit:
Ca 0.0000 0.0000 0.0000 x4
Tc 0.0000 0.2500 0.2500 x8
Se 0.0000 0.0000 0.5000 x4

Properties
DFT total energy	-109.02	eV for the cell shown
magnetization	0.0000	μB per atom
E_form (uncorrected)	0.315	eV per atom

***

[7]
Here is crystalline TlZn2GeOs at its relaxed geometry from the Alexandria database. Energies are from PBEsol.

Cell: 4.6736 4.6736 4.6546 Å, 90.00 90.00 90.00°
Space group P4/mmm (No. 123)
Asymmetric unit:
Tl 0.0000 0.0000 0.0000 x1
Zn 0.0000 0.5000 0.5000 x2
Ge 0.5000 0.5000 0.5000 x1
Os 0.5000 0.5000 0.0000 x1

Properties
DFT total energy	-18.30	eV for the cell shown
magnetization	0.0096	μB per atom
formation energy from the elements	930	meV per atom

***

[8]
Here is crystalline NaNi3Pd at its relaxed geometry from the Alexandria database. Energies are from PBEsol.

Cell: 4.1769 4.1769 4.1769 Å, 90.00 90.00 90.00°
Space group Pm-3m (No. 221)
Asymmetric unit:
Na 0.0000 0.0000 0.0000 x1
Ni 0.0000 0.0000 0.5000 x3
Pd 0.5000 0.5000 0.5000 x1

Properties
DFT total energy	-17.33	eV for the cell shown
magnetization	0.3349	μB per atom
formation energy from the elements	1700	meV per atom